No. 1
Computed, not measured: a geometry-optimized CaCu4Pd2 structure at the PBE level of DFT.

ΔH_f (0 K) (meV per atom): 246

a = 5.8386 Å, b = 5.8386 Å, c = 5.8386 Å
α = 102.67°, β = 102.67°, γ = 124.16°
Sites, in units of the cell vectors:
Ca  0.0000  0.0000  0.0000
Cu  0.7220  0.5000  0.2220
Cu  0.5000  0.7220  0.2220
Cu  0.5000  0.2780  0.7780
Cu  0.2780  0.5000  0.7780
Pd  0.2500  0.7500  0.5000
Pd  0.7500  0.2500  0.5000



No. 2
Computed, not measured: a geometry-optimized Ce3Co8Ge structure at the PBE level of DFT.

ΔH_f (0 K) (meV per atom): -192

a = 4.9522 Å, b = 4.9522 Å, c = 8.5401 Å
α = 73.15°, β = 73.15°, γ = 60.00°
Each line ends with the local moment (μB).
Sites, in units of the cell vectors:
Ce  0.3758  0.3758  0.8726  -0.08
Ce  0.9945  0.9945  0.0166  -0.08
Ce  0.5027  0.5027  0.4920  -0.07
Co  0.9352  0.4361  0.1925  0.11
Co  0.4460  0.9382  0.6776  0.13
Co  0.4361  0.4361  0.1925  0.11
Co  0.9382  0.9382  0.6776  0.13
Co  0.1895  0.1895  0.4316  0.20
Co  0.6883  0.6883  0.9351  0.15
Co  0.4361  0.9352  0.1925  0.11
Co  0.9382  0.4460  0.6776  0.13
Ge  0.8695  0.8695  0.3916  -0.01



No. 3
Computed, not measured: a geometry-optimized SiTcAg2 structure at the PBE level of DFT.

Raw formation energy (meV/atom): 462

a = 2.7299 Å, b = 4.4320 Å, c = 5.3299 Å
α = 90.00°, β = 90.00°, γ = 90.00°
Sites, in units of the cell vectors:
Ag  0.0000  0.0000  0.9979
Ag  0.0000  0.0000  0.5021
Si  0.5000  0.5000  0.2500
Tc  0.5000  0.5000  0.7500



Number 1: raw total energy -3.86 eV per atom, volume 146 Å³/f.u.. Number 2: raw total energy -6.80 eV per atom, volume 171 Å³/f.u.. Number 3: raw total energy -4.91 eV per atom, volume 64 Å³/f.u..